VASP calculation (PBE) on Rb3Ce3GeS8 after structural relaxation.

Structure (POSCAR):
```
Rb3Ce3GeS8
1.0
8.2569 0.0000 0.0000
-4.1284 7.1507 -0.0272
0.0000 -4.7402 7.7100
S Rb Ge Ce
8 3 1 3
Cartesian
0.0002 2.3913 2.3346
0.0002 0.0178 5.2437
2.0628 -1.1841 2.4532
-2.0657 3.5949 5.2298
4.1283 2.3928 2.4392
6.1941 -1.1843 2.4531
2.0657 3.5947 5.2297
4.1283 0.0192 5.3483
0.0000 0.0000 0.0000
-2.0642 3.5753 -0.0136
2.0642 3.5754 -0.0136
0.0000 -2.3701 3.8550
4.1285 -2.3701 3.8550
-2.0642 1.2053 3.8414
2.0642 1.2053 3.8415
```

Properties
**Space group**: No. 166
**ΔE_f (raw)**: -1505 meV per atom

=====

VASP calculation (PBE) on TmSc2Pt2 after structural relaxation.

Structure (POSCAR):
```
TmSc2Pt2
1.0
4.6858 0.0000 0.0000
-2.3429 4.0581 0.0000
0.0000 0.0000 5.7160
Tm Sc Pt
1 2 2
Cartesian
0.0000 0.0000 0.0000
2.3429 1.3527 1.9642
0.0000 2.7054 3.7518
0.0000 2.7054 1.0356
2.3429 1.3527 4.6803
```

Properties
**Energy relative to the elements**: -1.066 eV per atom
**Space group**: No. 164

=====

VASP calculation (PBE) on K3Rb5O after structural relaxation.

Structure (POSCAR):
```
K3Rb5O
1.0
9.1218 -1.5434 1.7097
-0.3228 12.1862 3.3390
-3.8084 1.1746 11.9947
Rb K O
10 6 2
Cartesian
-1.3165 9.0472 5.8064
1.3141 0.9154 9.1217
3.4655 7.7123 3.7790
1.5250 4.1051 13.2645
3.6764 10.9020 7.9218
0.7559 7.4153 9.7381
-2.8148 4.3136 9.5273
-1.7814 10.5140 12.6584
4.2346 4.4020 7.3054
6.7719 1.3033 4.3850
2.4144 1.9287 3.4260
2.5761 9.8886 13.6175
0.0000 0.0000 0.0000
5.0343 7.1283 11.0958
-0.0438 4.6890 5.9476
4.5609 -0.7717 0.8549
0.3677 10.9606 14.0919
4.6228 0.8568 2.9516
```

Properties
**Space group**: No. 12
**ΔE_f (raw)**: -261 meV per atom

=====

VASP calculation (PBE) on HoAl4Zn12 after structural relaxation.

Structure (POSCAR):
```
HoAl4Zn12
1.0
7.6002 0.0000 0.0000
-2.5334 7.1655 0.0000
-2.5334 -3.5828 6.2055
Zn Al Ho
12 4 1
Cartesian
1.0502 3.0611 0.9099
0.0026 -1.5722 5.2956
-2.5308 1.7895 4.9193
2.5308 5.1550 0.9099
3.5836 2.8402 3.0995
2.5360 -0.2173 2.1961
5.0642 1.7932 1.2862
-1.0502 0.7426 3.1060
-1.4832 4.8470 2.1961
4.0166 -1.2642 4.0094
-0.0026 3.8000 4.0094
1.4832 0.5216 5.2956
1.2667 1.7914 3.1028
3.8001 0.0000 0.0000
-1.2667 3.5828 0.0000
-1.2667 -1.7914 3.1028
0.0000 0.0000 0.0000
```

Properties
**Energy relative to the elements**: 0.240 eV per atom
**Space group**: No. 204

=====

VASP calculation (PBE) on Sc3AgN after structural relaxation.

Structure (POSCAR):
```
Sc3AgN
1.0
-0.6718 -3.5060 -2.6467
3.5881 1.1067 -2.3767
2.5342 -2.4964 2.6635
Ag N Sc
1 1 3
Cartesian
2.7253 -2.4478 -1.1800
0.0000 0.0000 0.0000
-0.3359 -1.7530 -1.3234
1.2671 -1.2482 1.3318
1.7941 0.5533 -1.1884
```

Properties
**Space group**: No. 221
**Relative energy among the computed polymorphs**: 0.027 eV/atom
**ΔE_f (raw)**: -892 meV per atom

=====

VASP calculation (PBE) on LaRuPb after structural relaxation.

Structure (POSCAR):
```
LaRuPb
1.0
4.7880 0.0000 0.0000
-2.3940 4.1465 0.0000
0.0000 0.0000 3.8360
La Pb Ru
1 1 1
Cartesian
0.0000 0.0000 3.8355
2.3940 1.3822 1.9175
0.0000 2.7644 1.9189
```

Properties
**Energy relative to the elements**: -0.092 eV per atom
**Space group**: No. 187

=====

VASP calculation (PBE) on BaCe2AgS5 after structural relaxation.

Structure (POSCAR):
```
BaCe2AgS5
1.0
-2.3788 7.2300 -1.6577
-5.7067 -0.6716 5.2595
8.3897 -0.6918 3.2461
S Ba Ce Ag
10 2 4 2
Cartesian
-0.6250 3.0327 1.4985
0.0000 0.0000 0.0000
0.9293 2.8339 5.3494
-3.0268 1.3245 4.4429
-4.0427 3.2792 1.8009
3.2019 -0.6536 5.1800
-5.2994 4.8120 4.6124
3.3311 4.5421 2.4050
-2.8976 6.5202 1.6679
5.6037 1.0546 2.2355
-1.8692 4.5729 4.3244
2.1735 1.2937 2.5235
-5.7645 5.6300 2.0787
-2.4830 4.6643 -0.2526
-2.3209 0.9284 1.5231
-5.6025 1.8941 3.8544
0.9841 4.9087 1.6946
-0.6798 0.9579 5.1533
```

Properties
**Space group**: No. 140
**ΔE_f (raw)**: -1651 meV per atom

=====

VASP calculation (PBE) on Sm3HSe2 after structural relaxation.

Structure (POSCAR):
```
Sm3HSe2
1.0
3.9291 0.0000 0.0000
0.0000 5.8877 0.0000
-1.9645 -2.9438 6.0252
Sm H Se
3 1 2
Cartesian
2.9468 1.4719 1.2202
0.9823 -1.4719 3.0126
-0.9823 1.4719 4.8050
0.9823 1.4719 3.0126
2.9468 4.4157 0.8910
-0.9823 -1.4719 5.1342
```

Properties
**Final energy**: -31.84 eV/cell
**Space group**: No. 71

=====

VASP calculation (PBE) on Pr12Tm7Sc after structural relaxation.

Structure (POSCAR):
```
Pr12Tm7Sc
1.0
-5.9312 1.0541 1.5731
1.6296 -10.3222 4.8468
5.1201 8.9892 5.0669
Tm Pr Sc
7 12 1
Cartesian
0.2714 7.4492 7.6111
0.5471 -7.7281 3.8757
-2.9656 0.5271 0.7865
4.8303 -3.3569 8.8821
-0.4993 0.0521 2.9312
1.3177 -0.3309 8.5556
-4.0119 3.0781 2.6047
-0.5158 4.1176 7.6152
-3.1437 0.5070 4.9351
1.3342 -4.3964 3.8716
-0.7066 3.5921 2.4433
-1.9571 -3.8472 7.5225
2.7755 3.5684 3.9643
0.1037 -1.8300 5.7265
0.7147 1.5511 5.7603
-2.3697 -6.0931 4.0621
3.1881 5.8142 7.4247
3.9621 -0.7858 6.5517
1.5250 -3.8710 9.0435
0.0000 0.0000 0.0000
```

Properties
**Energy relative to the elements**: 0.191 eV per atom
**Space group**: No. 166
**Relative energy among the computed polymorphs**: 0.044 eV/atom

=====

VASP calculation (PBE) on HoBe2Cu10 after structural relaxation.

Structure (POSCAR):
```
HoBe2Cu10
1.0
4.7128 0.0000 0.0000
2.3564 5.9802 0.0000
2.3564 0.0000 5.8118
Be Cu Ho
2 10 1
Cartesian
3.5346 2.9901 0.0000
1.1782 2.9901 0.0000
2.3564 3.8312 1.9895
7.0692 2.1490 3.8223
4.7128 1.4081 4.5630
4.7128 3.8312 3.8223
2.3564 1.4081 1.2489
1.1782 0.0000 2.9059
3.5346 0.0000 2.9059
4.7128 4.5721 1.2489
7.0692 4.5721 4.5630
4.7128 2.1490 1.9895
0.0000 0.0000 0.0000
```

Properties
**Energy relative to the elements**: -0.119 eV per atom
**Space group**: No. 69

=====

VASP calculation (PBE) on SrSnAu3 after structural relaxation.

Structure (POSCAR):
```
SrSnAu3
1.0
5.6242 0.0000 0.0000
0.0000 7.0610 0.0000
0.0000 0.0000 7.0239
Au Sr Sn
6 2 2
Cartesian
2.8121 0.0000 3.5120
0.0000 1.0189 1.0033
0.0000 2.5116 4.5152
2.8121 3.5305 0.0000
0.0000 6.0421 6.0206
0.0000 4.5494 2.5087
2.8121 0.0000 0.0000
2.8121 3.5305 3.5120
0.0000 3.5305 0.0000
0.0000 0.0000 3.5120
```

Properties
**Energy relative to the elements**: -0.356 eV per atom
**Space group**: No. 55
**Relative energy among the computed polymorphs**: 0.143 eV/atom

=====

VASP calculation (PBE) on NbMo4 after structural relaxation.

Structure (POSCAR):
```
NbMo4
1.0
-0.1222 5.4421 -1.8015
-1.3180 1.3842 4.2708
4.8323 2.0830 5.9646
Nb Mo
2 8
Cartesian
2.3550 3.7626 2.0815
0.0000 0.0000 0.0000
-0.4794 4.6274 0.9148
3.5816 4.3874 4.8300
3.8715 4.2820 7.5191
1.9289 6.0213 3.7805
-0.1895 4.5219 3.6039
1.4633 2.8880 4.6534
2.1782 7.7214 5.8719
1.2139 1.1879 2.5621
```

Properties
**Energy relative to the elements**: 0.417 eV per atom
**Space group**: No. 14
**Relative energy among the computed polymorphs**: 0.493 eV/atom

=====

The calculation returns the following DOS at the Fermi energy values, one per record and in order: 14.041; 2.764; 10.926; 11.092; 5.088; 3.966; 13.271; 4.853; 30.011; 3.685; 1.833; 7.809 states/eV per cell.
The calculation returns the following size of the total moment values, one per record and in order: 1.1; 0.0; 0.0; 0.0; 1.1; 0.0; 1.0; 0.0; 0.0; 0.0; 0.0; 0.0 μB per formula unit.